The following is a DFT calculation (PBE) of a relaxed structure of SmSc2Ta.

The energy above the most stable polymorph in this dataset is 0.0 kJ/mol of atoms. As for the electronic total energy: -7.10 eV/atom. The value obtained for the total magnetic moment is 0.00 μB/cell. Its symmetry is R-3m (166).

a b c (Å): 3.205 3.205 10.965
angles (deg): 81.60 81.60 60.00
Sites, in units of the cell vectors:
Sc 0.260 0.260 0.221
Sc 0.740 0.740 0.779
Sm 0.500 0.500 0.500
Ta 0.000 0.000 0.000

=====

The following is a DFT calculation (PBE) of a relaxed structure of TbTaAl.

As for the electronic total energy: -6.82 eV/atom. The value obtained for the total magnetic moment is 0.00 μB/cell. Its symmetry is P-62m (189).

a b c (Å): 4.494 7.203 7.203
angles (deg): 120.00 90.00 90.00
Sites, in units of the cell vectors:
Al 0.500 0.667 0.333
Al 0.500 0.333 0.667
Al 0.000 0.000 0.000
Tb 0.000 0.582 0.582
Tb 0.000 0.000 0.418
Tb 0.000 0.418 0.000
Ta 0.500 0.000 0.781
Ta 0.500 0.781 0.000
Ta 0.500 0.219 0.219

=====

| no. | volume (Å³ per cell) |
| --- | --- |
| 1 | 96.16 |
| 2 | 201.92 |